Record 1
GGA-PBE Tb6Dy8Y, optimized geometry; polymorph energy (0 for the lowest one) = 1.54 eV per formula unit; volume = 33.2 Å³/atom; DOS(E_F) = 1.478 states/eV/atom; magnetization = 0.000 μB per atom; ΔE_f = 22 kJ per mole of atoms
1.0
9.399 0.000 0.000
-4.699 8.140 0.000
0.000 0.000 6.506
Tb Dy Y
6 8 1
Direct
0.092 0.412 0.406
0.320 0.908 0.406
0.412 0.320 0.594
0.588 0.680 0.406
0.680 0.092 0.594
0.908 0.588 0.594
0.022 0.690 0.101
0.310 0.332 0.101
0.332 0.022 0.899
0.333 0.667 0.838
0.667 0.333 0.162
0.668 0.978 0.101
0.690 0.668 0.899
0.978 0.310 0.899
0.000 0.000 0.500


Record 2
GGA-PBE TbDy2Y3, optimized geometry; polymorph energy (0 for the lowest one) = 0.00 eV per formula unit; volume = 31.9 Å³/atom; DOS(E_F) = 1.461 states/eV/atom; magnetization = 0.000 μB per atom; ΔE_f = 2 kJ per mole of atoms
1.0
8.726 -3.560 0.000
8.726 3.560 0.000
-0.009 0.000 6.158
Tb Dy Y
2 4 6
Direct
0.125 0.875 0.750
0.875 0.125 0.250
0.208 0.458 0.583
0.458 0.208 0.083
0.542 0.792 0.917
0.792 0.542 0.417
0.042 0.292 0.917
0.292 0.042 0.417
0.375 0.625 0.250
0.625 0.375 0.750
0.708 0.958 0.583
0.958 0.708 0.083


Record 3
GGA-PBE Tb2Dy2Y7, optimized geometry; polymorph energy (0 for the lowest one) = 0.00 eV per formula unit; volume = 32.7 Å³/atom; DOS(E_F) = 1.683 states/eV/atom; magnetization = 0.000 μB per atom; ΔE_f = 10 kJ per mole of atoms
1.0
4.478 -4.726 0.000
4.478 4.726 0.000
-1.722 0.000 8.510
Tb Dy Y
2 2 7
Direct
0.176 0.824 0.000
0.824 0.176 0.000
0.104 0.104 0.356
0.896 0.896 0.644
0.052 0.419 0.709
0.348 0.348 0.092
0.419 0.052 0.709
0.500 0.500 0.500
0.581 0.948 0.291
0.652 0.652 0.908
0.948 0.581 0.291


Record 4
GGA-PBE Tb2DyY5, optimized geometry; polymorph energy (0 for the lowest one) = 0.00 eV per formula unit; volume = 32.0 Å³/atom; DOS(E_F) = 1.282 states/eV/atom; magnetization = 0.000 μB per atom; ΔE_f = 2 kJ per mole of atoms
1.0
7.133 0.000 0.000
0.000 14.267 0.000
0.000 0.000 5.033
Tb Dy Y
4 2 10
Direct
0.249 0.125 0.000
0.251 0.625 0.000
0.749 0.375 0.000
0.751 0.875 0.000
0.000 0.000 0.500
0.500 0.500 0.500
0.000 0.500 0.500
0.001 0.751 0.500
0.250 0.375 0.000
0.250 0.875 0.000
0.499 0.251 0.500
0.500 0.000 0.500
0.501 0.749 0.500
0.750 0.125 0.000
0.750 0.625 0.000
0.999 0.249 0.500


Record 5
GGA-PBE Tb4Dy11Y9, optimized geometry; volume = 32.1 Å³/atom; DOS(E_F) = 1.305 states/eV/atom; magnetization = 0.005 μB per atom; ΔE_f = 4 kJ per mole of atoms
1.0
8.352 -12.582 0.000
8.352 12.582 0.000
0.000 0.000 3.669
Tb Dy Y
4 11 9
Direct
0.054 0.255 0.000
0.255 0.054 0.000
0.745 0.946 0.000
0.946 0.745 0.000
0.092 0.454 0.500
0.133 0.867 0.500
0.208 0.208 0.500
0.341 0.659 0.500
0.454 0.092 0.500
0.500 0.500 0.500
0.546 0.908 0.500
0.659 0.341 0.500
0.792 0.792 0.500
0.867 0.133 0.500
0.908 0.546 0.500
0.000 0.000 0.000
0.132 0.663 0.000
0.286 0.432 0.000
0.337 0.868 0.000
0.432 0.286 0.000
0.568 0.714 0.000
0.663 0.132 0.000
0.714 0.568 0.000
0.868 0.337 0.000


Record 6
GGA-PBE Tb4Dy5Y2, optimized geometry; polymorph energy (0 for the lowest one) = 1.66 eV per formula unit; volume = 32.6 Å³/atom; DOS(E_F) = 1.577 states/eV/atom; magnetization = 0.000 μB per atom; ΔE_f = 16 kJ per mole of atoms
1.0
8.251 -3.321 0.000
8.251 3.321 0.000
-1.161 0.000 6.533
Tb Dy Y
4 5 2
Direct
0.089 0.089 0.404
0.255 0.255 0.185
0.745 0.745 0.815
0.911 0.911 0.596
0.150 0.673 0.097
0.327 0.850 0.903
0.500 0.500 0.500
0.673 0.150 0.097
0.850 0.327 0.903
0.299 0.299 0.697
0.701 0.701 0.303


Record 7
GGA-PBE Tb2Dy5Y4, optimized geometry; polymorph energy (0 for the lowest one) = 1.30 eV per formula unit; volume = 33.4 Å³/atom; DOS(E_F) = 1.549 states/eV/atom; magnetization = 0.000 μB per atom; ΔE_f = 24 kJ per mole of atoms
1.0
-1.753 4.514 11.610
1.753 -4.514 11.610
1.753 4.514 -11.610
Tb Dy Y
2 5 4
Direct
0.232 0.232 0.000
0.768 0.768 0.000
0.157 0.355 0.802
0.448 0.645 0.802
0.500 0.000 0.500
0.552 0.355 0.198
0.843 0.645 0.198
0.098 0.098 0.000
0.191 0.500 0.691
0.809 0.500 0.309
0.902 0.902 0.000


Record 8
GGA-PBE Tb6Dy8Y, optimized geometry; polymorph energy (0 for the lowest one) = 0.00 eV per formula unit; volume = 32.4 Å³/atom; DOS(E_F) = 1.520 states/eV/atom; magnetization = 0.000 μB per atom; ΔE_f = 12 kJ per mole of atoms
1.0
4.519 2.609 6.866
-4.519 2.609 6.866
0.000 -5.218 6.866
Tb Dy Y
6 8 1
Direct
0.039 0.607 0.730
0.270 0.961 0.393
0.393 0.270 0.961
0.607 0.730 0.039
0.730 0.039 0.607
0.961 0.393 0.270
0.077 0.077 0.077
0.221 0.610 0.244
0.244 0.221 0.610
0.390 0.756 0.779
0.610 0.244 0.221
0.756 0.779 0.390
0.779 0.390 0.756
0.923 0.923 0.923
0.500 0.500 0.500


Record 9
GGA-PBE Tb8Dy3Y4, optimized geometry; polymorph energy (0 for the lowest one) = 0.00 eV per formula unit; volume = 32.7 Å³/atom; DOS(E_F) = 1.581 states/eV/atom; magnetization = 0.003 μB per atom; ΔE_f = 13 kJ per mole of atoms
1.0
3.468 2.002 11.783
-3.468 2.002 11.783
0.000 -4.004 11.783
Tb Dy Y
8 3 4
Direct
0.245 0.245 0.245
0.248 0.750 0.750
0.250 0.250 0.752
0.250 0.752 0.250
0.750 0.248 0.750
0.750 0.750 0.248
0.752 0.250 0.250
0.755 0.755 0.755
0.000 0.000 0.500
0.000 0.500 0.000
0.500 0.000 0.000
0.000 0.000 0.000
0.336 0.336 0.336
0.500 0.500 0.500
0.664 0.664 0.664


Record 10
GGA-PBE TbDy3Y2, optimized geometry; volume = 31.8 Å³/atom; DOS(E_F) = 1.268 states/eV/atom; magnetization = 0.000 μB per atom; ΔE_f = 0 kJ per mole of atoms
1.0
7.170 0.000 0.000
-3.580 6.214 0.000
-1.788 -1.042 8.575
Tb Dy Y
2 6 4
Direct
0.000 0.249 0.001
0.000 0.751 0.999
0.222 0.862 0.667
0.278 0.138 0.334
0.500 0.249 0.001
0.500 0.751 0.999
0.722 0.862 0.666
0.778 0.138 0.333
0.222 0.360 0.666
0.279 0.640 0.334
0.721 0.360 0.666
0.778 0.640 0.334


Record 11
GGA-PBE Tb5Dy5Y, optimized geometry; polymorph energy (0 for the lowest one) = 0.00 eV per formula unit; volume = 32.7 Å³/atom; DOS(E_F) = 1.482 states/eV/atom; magnetization = 0.000 μB per atom; ΔE_f = 14 kJ per mole of atoms
1.0
6.823 0.000 0.000
2.344 6.433 0.000
2.212 1.541 8.188
Tb Dy Y
5 5 1
Direct
0.000 0.000 0.000
0.149 0.223 0.275
0.272 0.350 0.728
0.728 0.650 0.272
0.851 0.777 0.725
0.187 0.680 0.366
0.355 0.853 0.636
0.500 0.000 0.000
0.645 0.147 0.364
0.813 0.320 0.634
0.500 0.500 0.000


Record 12
GGA-PBE Tb2Dy3Y, optimized geometry; polymorph energy (0 for the lowest one) = 0.00 eV per formula unit; volume = 32.2 Å³/atom; DOS(E_F) = 1.653 states/eV/atom; magnetization = 0.000 μB per atom; ΔE_f = 1 kJ per mole of atoms
1.0
10.993 -1.818 0.000
10.993 1.818 0.000
-5.776 0.000 9.677
Tb Dy Y
4 6 2
Direct
0.055 0.055 0.429
0.278 0.278 0.402
0.722 0.722 0.598
0.945 0.945 0.571
0.055 0.055 0.931
0.278 0.278 0.904
0.389 0.389 0.765
0.611 0.611 0.235
0.722 0.722 0.096
0.945 0.945 0.069
0.389 0.389 0.264
0.611 0.611 0.736


Record 13
GGA-PBE Tb7DyY12, optimized geometry; polymorph energy (0 for the lowest one) = 0.00 eV per formula unit; volume = 32.6 Å³/atom; DOS(E_F) = 0.924 states/eV/atom; magnetization = 0.000 μB per atom; ΔE_f = 27 kJ per mole of atoms
1.0
6.428 3.711 4.558
-6.428 3.711 4.558
0.000 -7.422 4.558
Tb Dy Y
7 1 12
Direct
0.000 0.000 0.000
0.146 0.476 0.414
0.414 0.146 0.476
0.476 0.414 0.146
0.524 0.586 0.854
0.586 0.854 0.524
0.854 0.524 0.586
0.500 0.500 0.500
0.017 0.350 0.082
0.082 0.017 0.350
0.189 0.317 0.749
0.251 0.811 0.683
0.317 0.749 0.189
0.350 0.082 0.017
0.650 0.918 0.983
0.683 0.251 0.811
0.749 0.189 0.317
0.811 0.683 0.251
0.918 0.983 0.650
0.983 0.650 0.918


Record 14
GGA-PBE Tb4DyY3, optimized geometry; polymorph energy (0 for the lowest one) = 0.00 eV per formula unit; volume = 32.5 Å³/atom; DOS(E_F) = 1.741 states/eV/atom; magnetization = 0.000 μB per atom; ΔE_f = 1 kJ per mole of atoms
1.0
11.301 0.000 0.000
0.000 7.293 0.000
0.000 0.000 6.306
Tb Dy Y
8 2 6
Direct
0.000 0.124 0.000
0.000 0.875 0.500
0.249 0.875 0.831
0.251 0.125 0.331
0.500 0.125 0.000
0.500 0.876 0.500
0.749 0.125 0.331
0.751 0.875 0.831
0.000 0.626 0.997
0.500 0.374 0.497
0.000 0.375 0.497
0.250 0.375 0.832
0.250 0.625 0.332
0.500 0.625 0.997
0.750 0.375 0.832
0.750 0.625 0.332


Record 15
GGA-PBE Tb12Dy5Y2, optimized geometry; polymorph energy (0 for the lowest one) = 0.00 eV per formula unit; volume = 32.4 Å³/atom; DOS(E_F) = 1.558 states/eV/atom; magnetization = 0.000 μB per atom; ΔE_f = 11 kJ per mole of atoms
1.0
6.702 0.000 0.000
-1.676 8.721 0.000
-0.191 -3.622 10.520
Tb Dy Y
12 5 2
Direct
0.025 0.122 0.408
0.074 0.658 0.781
0.139 0.745 0.285
0.374 0.352 0.700
0.380 0.089 0.856
0.409 0.254 0.226
0.591 0.746 0.774
0.620 0.911 0.144
0.626 0.648 0.300
0.861 0.255 0.715
0.926 0.342 0.219
0.975 0.878 0.592
0.245 0.479 0.012
0.265 0.555 0.493
0.500 0.000 0.500
0.735 0.445 0.507
0.755 0.521 0.988
0.118 0.903 0.067
0.882 0.097 0.933


Record 16
GGA-PBE Tb2Dy9Y, optimized geometry; polymorph energy (0 for the lowest one) = 0.00 eV per formula unit; volume = 31.6 Å³/atom; DOS(E_F) = 1.495 states/eV/atom; magnetization = 0.000 μB per atom; ΔE_f = 2 kJ per mole of atoms
1.0
5.020 0.000 0.000
0.000 5.020 0.000
0.000 0.000 15.057
Tb Dy Y
2 9 1
Direct
0.000 0.000 0.167
0.000 0.000 0.833
0.000 0.500 0.000
0.000 0.500 0.333
0.000 0.500 0.667
0.500 0.000 0.000
0.500 0.000 0.333
0.500 0.000 0.667
0.500 0.500 0.167
0.500 0.500 0.500
0.500 0.500 0.833
0.000 0.000 0.500


Record 17
GGA-PBE Tb3Dy3Y4, optimized geometry; volume = 32.5 Å³/atom; DOS(E_F) = 0.891 states/eV/atom; magnetization = 0.000 μB per atom; ΔE_f = 10 kJ per mole of atoms
1.0
3.692 0.000 0.000
0.000 6.628 6.631
0.000 -6.628 6.631
Tb Dy Y
3 3 4
Direct
0.000 0.000 0.000
0.000 0.500 0.845
0.000 0.845 0.500
0.000 0.345 0.345
0.500 0.173 0.672
0.500 0.672 0.173
0.500 0.047 0.299
0.500 0.299 0.047
0.500 0.546 0.546
0.500 0.799 0.799


Record 18
GGA-PBE Tb7Dy4Y, optimized geometry; polymorph energy (0 for the lowest one) = 0.00 eV per formula unit; volume = 32.2 Å³/atom; DOS(E_F) = 1.651 states/eV/atom; magnetization = 0.000 μB per atom; ΔE_f = 8 kJ per mole of atoms
1.0
6.496 0.000 0.000
0.914 6.753 0.000
2.066 0.302 8.800
Tb Dy Y
7 4 1
Direct
0.000 0.000 0.000
0.193 0.603 0.387
0.313 0.203 0.641
0.486 0.750 0.052
0.514 0.250 0.948
0.687 0.797 0.359
0.807 0.397 0.613
0.159 0.112 0.313
0.359 0.697 0.715
0.641 0.303 0.285
0.841 0.888 0.687
0.000 0.500 0.000


Record 19
GGA-PBE Tb3DyY2, optimized geometry; volume = 32.0 Å³/atom; DOS(E_F) = 1.361 states/eV/atom; magnetization = 0.000 μB per atom; ΔE_f = 0 kJ per mole of atoms
1.0
8.845 -3.593 0.000
8.845 3.593 0.000
-1.456 0.000 6.048
Tb Dy Y
6 2 4
Direct
0.042 0.292 0.027
0.125 0.875 0.750
0.292 0.042 0.527
0.708 0.958 0.473
0.875 0.125 0.250
0.958 0.708 0.973
0.375 0.625 0.250
0.625 0.375 0.750
0.208 0.458 0.471
0.458 0.208 0.971
0.542 0.792 0.029
0.792 0.542 0.529